one | ! Zr2TaF (GGA-PBE, relaxed); values from VASP
! Symmetry: I-42d, No. 122
! DOS(E_F): 0.813 states/eV per atom
&SYSTEM
  ibrav = 0, nat = 8, ntyp = 3
/
ATOMIC_SPECIES
F 19.00 F.upf
Zr 91.22 Zr.upf
Ta 180.95 Ta.upf
ATOMIC_POSITIONS angstrom
F -4.5451 1.5282 0.5786
F -7.7827 -0.4343 0.4889
Zr -3.6620 2.2733 2.4936
Zr -5.6358 -0.2942 -0.1223
Zr -7.5881 0.5423 2.4916
Zr -11.2152 2.3387 3.4652
Ta 0.0000 0.0000 0.0000
Ta -6.2679 2.8644 3.6751
CELL_PARAMETERS angstrom
-3.0303 4.8269 3.7648
-6.0598 -1.7705 -2.6076
-4.9604 -0.6264 3.0068



two | ! Zr2TaF (GGA-PBE, relaxed); values from VASP
! Symmetry: Fm-3m, No. 225
! DOS(E_F): 0.950 states/eV per atom
&SYSTEM
  ibrav = 0, nat = 4, ntyp = 3
/
ATOMIC_SPECIES
F 19.00 F.upf
Zr 91.22 Zr.upf
Ta 180.95 Ta.upf
ATOMIC_POSITIONS angstrom
F 0.0000 0.0000 0.0000
Zr -2.8324 0.6080 0.0635
Zr -8.4971 1.8239 0.1904
Ta -5.6647 1.2159 0.1269
CELL_PARAMETERS angstrom
-3.9615 -0.3106 2.5689
-3.2113 3.4708 -0.1748
-4.1567 -0.7283 -2.1403



What should be chosen as the least stable of them? Choose two.



one | ! ZrTa2F (GGA-PBE, relaxed); values from VASP
! Symmetry: I-42d, No. 122
! DOS(E_F): 1.170 states/eV per atom
&SYSTEM
  ibrav = 0, nat = 8, ntyp = 3
/
ATOMIC_SPECIES
F 19.00 F.upf
Zr 91.22 Zr.upf
Ta 180.95 Ta.upf
ATOMIC_POSITIONS angstrom
F 2.6463 2.6463 0.0000
F 2.6463 5.2927 3.0470
Zr 0.0000 0.0000 0.0000
Zr 5.2927 2.6463 3.0470
Ta 2.3217 1.3232 1.5235
Ta 2.9709 3.9695 1.5235
Ta 3.9695 5.6173 4.5705
Ta 6.6158 4.9681 4.5705
CELL_PARAMETERS angstrom
5.2927 0.0000 0.0000
0.0000 5.2927 0.0000
2.6463 2.6463 6.0940



two | ! ZrTa2F (GGA-PBE, relaxed); values from VASP
! Symmetry: Fm-3m, No. 225
! DOS(E_F): 1.207 states/eV per atom
&SYSTEM
  ibrav = 0, nat = 4, ntyp = 3
/
ATOMIC_SPECIES
F 19.00 F.upf
Zr 91.22 Zr.upf
Ta 180.95 Ta.upf
ATOMIC_POSITIONS angstrom
F 0.0000 0.0000 0.0000
Zr -5.3542 1.8765 -0.4702
Ta -2.6771 0.9383 -0.2351
Ta -8.0313 2.8148 -0.7053
CELL_PARAMETERS angstrom
-4.3028 -0.3300 1.7274
-2.7333 3.7562 0.1632
-3.6723 0.3268 -2.8309



What should be chosen as the least stable of them? Choose one.



one | ! TbTeF (GGA-PBE, relaxed); values from VASP
! Symmetry: P4/nmm, No. 129
! DOS(E_F): 0.007 states/eV per atom
&SYSTEM
  ibrav = 0, nat = 12, ntyp = 3
/
ATOMIC_SPECIES
Te 127.60 Te.upf
F 19.00 F.upf
Tb 158.93 Tb.upf
ATOMIC_POSITIONS angstrom
Te 1.0198 5.1063 4.8466
Te 3.0595 7.1445 2.7108
Te 3.0594 3.0635 2.7149
Te 1.0198 1.0253 4.8506
F 1.0200 7.1491 7.5621
F 3.0597 5.1016 -0.0046
F 3.0592 1.0206 -0.0006
F 1.0196 3.0682 7.5661
Tb 1.0198 5.1027 1.4861
Tb 3.0595 7.1480 6.0714
Tb 3.0595 3.0671 6.0754
Tb 1.0198 1.0218 1.4901
CELL_PARAMETERS angstrom
4.0793 0.0000 0.0000
0.0000 8.1620 -0.0081
0.0000 0.0078 7.5695



two | ! TbTeF (GGA-PBE, relaxed); values from VASP
! Symmetry: P-6m2, No. 187
&SYSTEM
  ibrav = 0, nat = 3, ntyp = 3
/
ATOMIC_SPECIES
Te 127.60 Te.upf
Tb 158.93 Tb.upf
F 19.00 F.upf
ATOMIC_POSITIONS angstrom
Te -1.2751 2.3262 2.6657
Tb -0.0706 -0.6623 2.4054
F -0.6239 0.2545 0.2711
CELL_PARAMETERS angstrom
-3.7436 1.5269 1.6266
-0.1139 -3.1419 2.6873
1.8879 3.5333 1.0283



What should be chosen as the least stable of them? Choose one.



one | ! Tb2ZnF8 (GGA-PBE, relaxed); values from VASP
! Symmetry: C2/m, No. 12
! DOS(E_F): 0.000 states/eV per atom
&SYSTEM
  ibrav = 0, nat = 11, ntyp = 3
/
ATOMIC_SPECIES
Tb 158.93 Tb.upf
Zn 65.41 Zn.upf
F 19.00 F.upf
ATOMIC_POSITIONS angstrom
Tb 2.3599 1.9946 1.6578
Tb 0.8173 4.7042 3.9100
Zn 0.0000 0.0000 0.0000
F 2.8440 0.7150 3.4547
F 0.3331 3.1715 5.4965
F 3.2926 0.5164 0.4292
F -0.1155 6.1824 5.1387
F 2.8440 3.5272 0.0714
F 0.3331 5.9837 2.1132
F 0.3432 2.9588 2.4593
F 2.8339 3.7400 3.1086
CELL_PARAMETERS angstrom
4.5665 -0.6136 -0.5100
-0.6947 5.9481 0.2815
-0.6947 1.3642 5.7964



two | ! Tb2ZnF8 (GGA-PBE, relaxed); values from VASP
! Symmetry: C2/m, No. 12
! DOS(E_F): 0.000 states/eV per atom
&SYSTEM
  ibrav = 0, nat = 11, ntyp = 3
/
ATOMIC_SPECIES
Tb 158.93 Tb.upf
Zn 65.41 Zn.upf
F 19.00 F.upf
ATOMIC_POSITIONS angstrom
Tb 0.6196 -2.1376 3.9808
Tb 0.0741 1.1485 6.0364
Zn -1.6172 0.3485 0.4388
F -1.1896 -1.1628 3.2145
F 1.9037 2.3618 5.1401
F 1.1685 0.1380 4.1967
F -0.1272 -3.7647 2.5207
F -0.4748 -1.1271 5.8205
F -1.2100 -3.3509 4.8770
F 1.8834 0.1737 6.8026
F 0.8209 2.7756 7.4964
CELL_PARAMETERS angstrom
-3.2344 0.6969 0.8777
-0.2665 -4.9550 2.9524
4.1947 3.2689 6.1871



What should be chosen as the least stable of them? Choose two.



one | ! TcTe3F (GGA-PBE, relaxed); values from VASP
! Symmetry: Pm-3m, No. 221
! DOS(E_F): 1.322 states/eV per atom
&SYSTEM
  ibrav = 0, nat = 5, ntyp = 3
/
ATOMIC_SPECIES
Te 127.60 Te.upf
Tc 98.00 Tc.upf
F 19.00 F.upf
ATOMIC_POSITIONS angstrom
Te -2.0067 -0.9216 1.3349
Te 1.5997 -0.7715 1.8720
Te -0.2695 2.2834 1.1714
Tc 0.0000 0.0000 0.0000
F -0.6766 0.5902 4.3783
CELL_PARAMETERS angstrom
-0.5390 4.5668 2.3427
-4.0135 -1.8433 2.6699
3.1993 -1.5431 3.7440



two | ! TcTe3F (GGA-PBE, relaxed); values from VASP
! Symmetry: Pm-3m, No. 221
! DOS(E_F): 0.525 states/eV per atom
&SYSTEM
  ibrav = 0, nat = 5, ntyp = 3
/
ATOMIC_SPECIES
Te 127.60 Te.upf
Tc 98.00 Tc.upf
F 19.00 F.upf
ATOMIC_POSITIONS angstrom
Te -2.1030 -1.0073 -0.5668
Te -0.5626 -0.1359 2.3289
Te -1.0097 2.1738 -0.1171
Tc -3.6753 1.0306 1.6450
F 0.0000 0.0000 0.0000
CELL_PARAMETERS angstrom
-2.0194 4.3476 -0.2341
-4.2060 -2.0146 -1.1336
-1.1252 -0.2718 4.6578



What should be chosen as the least stable of them? Choose two.



one | ! Tc2TeF (GGA-PBE, relaxed); values from VASP
! Symmetry: I-42d, No. 122
! DOS(E_F): 0.597 states/eV per atom
&SYSTEM
  ibrav = 0, nat = 8, ntyp = 3
/
ATOMIC_SPECIES
Te 127.60 Te.upf
Tc 98.00 Tc.upf
F 19.00 F.upf
ATOMIC_POSITIONS angstrom
Te 0.0000 0.0000 0.0000
Te 4.1733 2.0866 4.0032
Tc 2.7228 1.0433 2.0016
Tc 1.4505 3.1300 2.0016
Tc 3.1300 3.5371 6.0048
Tc 5.2166 4.8094 6.0048
F 2.0866 2.0866 0.0000
F 2.0866 4.1733 4.0032
CELL_PARAMETERS angstrom
4.1733 0.0000 0.0000
0.0000 4.1733 0.0000
2.0866 2.0866 8.0064



two | ! Tc2TeF (GGA-PBE, relaxed); values from VASP
! Symmetry: Fm-3m, No. 225
! DOS(E_F): 0.886 states/eV per atom
&SYSTEM
  ibrav = 0, nat = 4, ntyp = 3
/
ATOMIC_SPECIES
Te 127.60 Te.upf
Tc 98.00 Tc.upf
F 19.00 F.upf
ATOMIC_POSITIONS angstrom
Te 3.1235 3.1235 3.1235
Tc 1.5617 1.5617 1.5617
Tc 4.6852 4.6852 4.6852
F 0.0000 0.0000 0.0000
CELL_PARAMETERS angstrom
0.0000 3.1235 3.1235
3.1235 0.0000 3.1235
3.1235 3.1235 0.0000



What should be chosen as the least stable of them? Choose two.



one | ! TiTc3F (GGA-PBE, relaxed); values from VASP
! Symmetry: Pm-3m, No. 221
! DOS(E_F): 1.431 states/eV per atom
&SYSTEM
  ibrav = 0, nat = 5, ntyp = 3
/
ATOMIC_SPECIES
F 19.00 F.upf
Tc 98.00 Tc.upf
Ti 47.87 Ti.upf
ATOMIC_POSITIONS angstrom
F 0.0000 0.0000 0.0000
Tc 0.0000 2.0778 0.0000
Tc 0.0000 0.0000 2.0778
Tc 2.0778 0.0000 0.0000
Ti 2.0778 2.0778 2.0778
CELL_PARAMETERS angstrom
4.1555 0.0000 0.0000
0.0000 4.1555 0.0000
0.0000 0.0000 4.1555



two | ! TiTc3F (GGA-PBE, relaxed); values from VASP
! Symmetry: Pm-3m, No. 221
! DOS(E_F): 1.463 states/eV per atom
&SYSTEM
  ibrav = 0, nat = 5, ntyp = 3
/
ATOMIC_SPECIES
F 19.00 F.upf
Tc 98.00 Tc.upf
Ti 47.87 Ti.upf
ATOMIC_POSITIONS angstrom
F -2.9036 -2.5930 -0.8184
Tc -0.0181 -2.2105 0.6228
Tc -2.1882 0.2057 0.6665
Tc -0.6973 -0.5882 -2.1077
Ti 0.0000 0.0000 0.0000
CELL_PARAMETERS angstrom
-1.3946 -1.1763 -4.2155
-0.0362 -4.4211 1.2457
-4.3764 0.4115 1.3330



What should be chosen as the least stable of them? Choose two.



one | ! TiTcF2 (GGA-PBE, relaxed); values from VASP
! Symmetry: Fm-3m, No. 225
! DOS(E_F): 0.756 states/eV per atom
&SYSTEM
  ibrav = 0, nat = 4, ntyp = 3
/
ATOMIC_SPECIES
F 19.00 F.upf
Tc 98.00 Tc.upf
Ti 47.87 Ti.upf
ATOMIC_POSITIONS angstrom
F 0.8088 -0.9765 2.2315
F 2.4263 -2.9294 6.6946
Tc 1.6175 -1.9529 4.4631
Ti 0.0000 0.0000 0.0000
CELL_PARAMETERS angstrom
3.2264 -1.8001 1.9789
0.7077 0.8365 4.0454
-0.6991 -2.9423 2.9018



two | ! TiTcF2 (GGA-PBE, relaxed); values from VASP
! Symmetry: I-42d, No. 122
! DOS(E_F): 0.336 states/eV per atom
&SYSTEM
  ibrav = 0, nat = 8, ntyp = 3
/
ATOMIC_SPECIES
F 19.00 F.upf
Tc 98.00 Tc.upf
Ti 47.87 Ti.upf
ATOMIC_POSITIONS angstrom
F 2.6944 0.9138 1.8832
F 0.9607 2.7413 1.8832
F 2.7413 2.7882 5.6495
F 4.5689 4.5220 5.6495
Tc 0.0000 0.0000 0.0000
Tc 3.6551 1.8276 3.7663
Ti 1.8276 1.8276 0.0000
Ti 1.8276 3.6551 3.7663
CELL_PARAMETERS angstrom
3.6551 0.0000 0.0000
0.0000 3.6551 0.0000
1.8276 1.8276 7.5327



What should be chosen as the least stable of them? Choose one.